*one*
The following is a DFT calculation (PBE-GGA) of crystalline BaTaSeN2 at its relaxed geometry.

abc: 4.252 4.252 5.268
angles: 90.00 90.00 90.00
Sites, in units of the cell vectors:
Ba: 0.000 0.000 0.000
Ta: 0.500 0.500 0.500
Se: 0.500 0.500 0.000
N: 0.000 0.500 0.500
N: 0.500 0.000 0.500

Calculated values
**Calculated density**: 7.41 g/cm³

*two*
The following is a DFT calculation (PBE-GGA) of crystalline BaTaSeN2 at its relaxed geometry.

abc: 4.428 4.428 6.176
angles: 90.00 90.00 90.00
Sites, in units of the cell vectors:
Ba: 0.000 0.000 0.000
Ta: 0.500 0.500 0.500
Se: 0.000 0.000 0.500
N: 0.000 0.500 0.000
N: 0.500 0.000 0.000

Calculated values
**Calculated density**: 5.83 g/cm³

Which one is most stable, and which one is least stable? *one* is the most stable of them, while *two* is the least stable.

*one*
The following is a DFT calculation (PBE-GGA) of crystalline BaTeSe2N at its relaxed geometry.

abc: 6.089 6.089 4.327
angles: 90.00 90.00 90.00
Sites, in units of the cell vectors:
Ba: 0.000 0.000 0.000
Te: 0.500 0.500 0.500
Se: 0.000 0.500 0.000
Se: 0.500 0.000 0.000
N: 0.000 0.000 0.500

Calculated values
**Calculated density**: 4.52 g/cm³

*two*
The following is a DFT calculation (PBE-GGA) of crystalline BaTeSe2N at its relaxed geometry.

abc: 5.583 5.583 4.169
angles: 90.00 90.00 90.00
Sites, in units of the cell vectors:
Ba: 0.000 0.000 0.000
Te: 0.500 0.500 0.500
Se: 0.000 0.500 0.500
Se: 0.500 0.000 0.500
N: 0.500 0.500 0.000

Calculated values
**Calculated density**: 5.58 g/cm³

Which one is most stable, and which one is least stable? *two* is the most stable of them, while *one* is the least stable.